--- one ---
The following is a PBE calculation of Pr2MgI after structural relaxation, from the Alexandria database.

Cell lengths 3.8649, 3.8649, 30.7597 Å; angles 90.00, 90.00, 120.00 degrees
Space group R3m (No. 160, hexagonal axes)
Unique sites:
Pr1 0.0000 0.0000 0.0000 x3
Pr2 0.0000 0.0000 0.1675 x3
Mg1 0.0000 0.0000 0.4167 x3
I1 0.0000 0.0000 0.5833 x3

Volume   33.2 Å³ per atom

---

--- two ---
The following is a PBE calculation of Pr2MgI after structural relaxation, from the Alexandria database.

Cell lengths 3.8032, 3.8032, 8.6420 Å; angles 90.00, 90.00, 90.00 degrees
Space group P4/mmm (No. 123)
Unique sites:
Pr1 0.0000 0.0000 0.2381 x2
Mg1 0.5000 0.5000 0.0000 x1
I1 0.5000 0.5000 0.5000 x1

Volume   31.2 Å³ per atom

---

--- three ---
The following is a PBE calculation of Pr2MgI after structural relaxation, from the Alexandria database.

Cell lengths 3.6808, 3.6808, 35.9507 Å; angles 90.00, 90.00, 120.00 degrees
Space group R-3m (No. 166, hexagonal axes)
Unique sites:
Pr1 0.0000 0.0000 0.0947 x6
Mg1 0.0000 0.0000 0.0000 x3
I1 0.0000 0.0000 0.5000 x3

Volume   35.2 Å³ per atom

---

Short version: three is the least stable of them.

---

--- one ---
The following is a PBE calculation of Mg2PtI after structural relaxation, from the Alexandria database.

Cell lengths 5.7707, 5.7707, 14.8360 Å; angles 90.00, 90.00, 90.00 degrees
Space group I-42d (No. 122)
Unique sites:
Mg1 0.1708 0.2500 0.1250 x8
Pt1 0.0000 0.0000 0.0000 x4
I1 0.0000 0.0000 0.5000 x4

Volume   30.9 Å³ per atom

---

--- two ---
The following is a PBE calculation of Mg2PtI after structural relaxation, from the Alexandria database.

Cell lengths 7.0122, 7.0122, 7.0122 Å; angles 90.00, 90.00, 90.00 degrees
Space group Fm-3m (No. 225)
Unique sites:
Mg1 0.2500 0.2500 0.2500 x8
Pt1 0.0000 0.0000 0.0000 x4
I1 0.0000 0.0000 0.5000 x4

Volume   21.5 Å³ per atom

---

Short version: two is the least stable of them.

---

--- one ---
The following is a PBE calculation of Pu2MgI6 after structural relaxation, from the Alexandria database.

Cell lengths 7.4334, 7.4334, 13.7267 Å; angles 90.00, 90.00, 90.00 degrees
Space group P4_2/mnm (No. 136)
Unique sites:
Pu1 0.0000 0.0000 0.1606 x4
Mg1 0.0000 0.0000 0.5000 x2
I1 0.1933 0.1933 0.3416 x8
I2 0.2150 0.2150 0.0000 x4

Volume   42.1 Å³ per atom

---

--- two ---
The following is a PBE calculation of Pu2MgI6 after structural relaxation, from the Alexandria database.

Cell lengths 16.8675, 4.2882, 11.4920 Å; angles 90.00, 111.77, 90.00 degrees
Space group C2/m (No. 12)
Unique sites:
Pu1 0.1720 0.0000 0.3476 x4
Mg1 0.0000 0.5000 0.0000 x2
I1 0.0208 0.5000 0.2697 x4
I2 0.1297 0.0000 0.0471 x4
I3 0.1848 0.0000 0.6278 x4

Volume   42.9 Å³ per atom

---

Short version: one is the least stable of them.

---

--- one ---
The following is a PBE calculation of RbMgSb2I after structural relaxation, from the Alexandria database.

Cell lengths 5.4553, 5.4553, 6.5815 Å; angles 90.00, 90.00, 90.00 degrees
Space group P4/mmm (No. 123)
Unique sites:
Rb1 0.0000 0.0000 0.0000 x1
Mg1 0.5000 0.5000 0.5000 x1
Sb1 0.0000 0.5000 0.5000 x2
I1 0.5000 0.5000 0.0000 x1

Volume   39.2 Å³ per atom

---

--- two ---
The following is a PBE calculation of RbMgSb2I after structural relaxation, from the Alexandria database.

Cell lengths 6.4652, 6.4652, 6.5012 Å; angles 90.00, 90.00, 90.00 degrees
Space group P4/mmm (No. 123)
Unique sites:
Rb1 0.0000 0.0000 0.0000 x1
Mg1 0.5000 0.5000 0.5000 x1
Sb1 0.0000 0.5000 0.0000 x2
I1 0.0000 0.0000 0.5000 x1

Volume   54.3 Å³ per atom

---

Short version: two is the least stable of them.

---

--- one ---
The following is a PBE calculation of RbMgTeI2 after structural relaxation, from the Alexandria database.

Cell lengths 6.7529, 6.7529, 6.6152 Å; angles 90.00, 90.00, 90.00 degrees
Space group P4/mmm (No. 123)
Unique sites:
Rb1 0.0000 0.0000 0.0000 x1
Mg1 0.5000 0.5000 0.5000 x1
Te1 0.0000 0.0000 0.5000 x1
I1 0.0000 0.5000 0.0000 x2

Volume   60.3 Å³ per atom

---

--- two ---
The following is a PBE calculation of RbMgTeI2 after structural relaxation, from the Alexandria database.

Cell lengths 5.9845, 5.9845, 5.6127 Å; angles 90.00, 90.00, 90.00 degrees
Space group P4/mmm (No. 123)
Unique sites:
Rb1 0.0000 0.0000 0.0000 x1
Mg1 0.5000 0.5000 0.5000 x1
Te1 0.5000 0.5000 0.0000 x1
I1 0.0000 0.5000 0.5000 x2

Volume   40.2 Å³ per atom

---

Short version: one is the least stable of them.

---

--- one ---
The following is a PBE calculation of Mg3ReI after structural relaxation, from the Alexandria database.

Cell lengths 5.3243, 5.3243, 5.3243 Å; angles 90.00, 90.00, 90.00 degrees
Space group Pm-3m (No. 221)
Unique sites:
Mg1 0.0000 0.0000 0.5000 x3
Re1 0.0000 0.0000 0.0000 x1
I1 0.5000 0.5000 0.5000 x1

Volume   30.2 Å³ per atom

---

--- two ---
The following is a PBE calculation of Mg3ReI after structural relaxation, from the Alexandria database.

Cell lengths 5.3117, 5.3117, 5.3117 Å; angles 90.00, 90.00, 90.00 degrees
Space group Pm-3m (No. 221)
Unique sites:
Mg1 0.0000 0.0000 0.5000 x3
Re1 0.5000 0.5000 0.5000 x1
I1 0.0000 0.0000 0.0000 x1

Volume   30.0 Å³ per atom

---

Short version: two is the least stable of them.